# 1
This record from Alexandria via LeMat-Bulk describes a relaxed structure of ZrInTc2. The functional is PBE.

extended XYZ file:
```
12
Lattice="3.146 0.000 0.000 -1.573 2.725 0.000 0.000 0.000 25.671" Properties=species:S:1:pos:R:3 pbc="T T T"
Zr 0.000 0.000 0.000
Zr 0.000 1.816 17.114
Zr 1.573 0.908 8.557
In 0.000 0.000 12.835
In 0.000 1.816 4.278
In 1.573 0.908 21.392
Tc 0.000 0.000 6.476
Tc 0.000 0.000 19.195
Tc 0.000 1.816 10.638
Tc 0.000 1.816 23.589
Tc 1.573 0.908 2.081
Tc 1.573 0.908 15.032
```

Results
offset from the most stable computed form: 353 meV per atom
formation enthalpy at 0 K: 0.2450 eV/atom
calculated density: 9102 kg/m3
calculated volume: 220 Å³ per cell

***

# 2
This record from Alexandria via LeMat-Bulk describes a relaxed structure of BaNa2Br4. The functional is PBE.

extended XYZ file:
```
14
Lattice="-4.982 4.982 4.718 4.982 -4.982 4.718 4.982 4.982 -4.718" Properties=species:S:1:pos:R:3 pbc="T T T"
Ba 4.982 2.491 1.180
Ba 0.000 2.491 3.539
Na 0.000 0.000 0.000
Na 2.491 2.491 -2.359
Na 2.491 -2.491 2.359
Na 0.000 4.982 0.000
Br 4.982 -0.677 1.850
Br 4.982 4.305 -1.850
Br 1.814 2.491 0.509
Br 3.168 -2.491 5.227
Br 1.814 7.473 -0.509
Br 3.168 2.491 4.209
Br 0.000 0.677 6.568
Br 0.000 5.659 2.868
```

Results
offset from the most stable computed form: 5 meV per atom
formation energy without anion corrections: -1810 meV/atom
calculated density: 3566 kg/m3
calculated volume: 468 Å³ per cell